Entry 1:
Material: InRe2As
Method: DFT, PBE
State: relaxed

Cell: 2.9777 2.9777 8.1098 Å, 90.00 90.00 90.00°
Closest atoms and distances in Å follow each position.
Element x y z (fractional)
In 0.0000 0.0000 0.0000  4 Re 2.95, 4 In 2.98
Re 0.0000 0.0000 0.4528  4 Re 2.65, 4 As 2.70
Re 0.5000 0.5000 0.2547  4 Re 2.65, 4 In 2.95
As 0.5000 0.5000 0.6606  4 Re 2.70, 4 As 2.98

## Properties
space-group type: No. 99
calculated volume: 71.9 Å³ per cell
crystal system: tetragonal
D(E_F): 0.691 states/eV/atom
energy of formation: 17.5 kJ per mole of atoms
relative energy among the computed polymorphs: 0.00 eV per formula unit



Entry 2:
Material: InReAs2
Method: DFT, PBE
State: relaxed

Cell: 6.4030 6.4030 6.4030 Å, 152.00 136.85 52.23°
Closest atoms and distances in Å follow each position.
Element x y z (fractional)
In 0.0000 0.0000 0.0000  4 Re 2.82, 2 In 3.10, 4 As 3.11
Re 0.5000 0.5000 0.0000  4 As 2.55, 4 In 2.82
As 0.3235 0.8235 0.5000  2 Re 2.55
As 0.6765 0.1765 0.5000  2 Re 2.55

## Properties
space-group type: No. 71
calculated volume: 83.9 Å³ per cell
crystal system: orthorhombic
D(E_F): 0.717 states/eV/atom
energy of formation: 28.8 kJ per mole of atoms



Entry 3:
Material: InReAs4
Method: DFT, PBE
State: relaxed

Cell: 5.5109 5.5109 5.5109 Å, 60.00 60.00 60.00°
Closest atoms and distances in Å follow each position.
Element x y z (fractional)
In 0.0000 0.0000 0.0000  12 As 3.23, 4 Re 3.37
Re 0.7500 0.7500 0.7500  12 As 3.23, 4 In 3.37
As 0.3750 0.3750 0.3750  6 As 2.75-2.76
As 0.3750 0.3750 0.8749  6 As 2.75-2.76
As 0.3750 0.8749 0.3750  6 As 2.75-2.76
As 0.8749 0.3750 0.3750  6 As 2.75-2.76

## Properties
space-group type: No. 216
calculated volume: 118.3 Å³ per cell
crystal system: cubic
D(E_F): 0.565 states/eV/atom
energy of formation: 93.3 kJ per mole of atoms



Entry 4:
Material: InRe2As
Method: DFT, PBE
State: relaxed

Cell: 5.3443 5.3443 5.3443 Å, 147.35 124.19 66.18°
Closest atoms and distances in Å follow each position.
Element x y z (fractional)
In 0.0000 0.0000 0.0000  4 As 2.92, 8 Re 2.93-3.18, 2 In 3.00
Re 0.2803 0.7803 0.5000  2 As 2.48
Re 0.7197 0.2197 0.5000  2 As 2.48
As 0.5000 0.5000 0.0000  4 Re 2.48

## Properties
space-group type: No. 71
calculated volume: 67.3 Å³ per cell
crystal system: orthorhombic
D(E_F): 0.787 states/eV/atom
energy of formation: 59.2 kJ per mole of atoms
relative energy among the computed polymorphs: 1.73 eV per formula unit